*P*
# ZnCuBr2

A geometry-optimized ZnCuBr2 structure (PBE, the Alexandria database).

The density of states at the Fermi level comes out at 3.1 states/eV per cell.

It has space group C2/m (No. 12), with a = 6.750 Å, b = 3.953 Å, c = 6.955 Å, α = 90.00°, β = 108.28° and γ = 90.00°. Symmetry generates all atoms from Zn at (0.000, 0.000, 0.000), Cu at (0.000, 0.500, 0.500) and Br at (0.243, 0.000, 0.720).


*Q*
# ZnCuBr2

A geometry-optimized ZnCuBr2 structure (PBE, the Alexandria database).

The density of states at the Fermi level comes out at 1.0 states/eV per cell.

It has space group P4mm (No. 99), with a = 3.848 Å, b = 3.848 Å, c = 6.231 Å, α = 90.00°, β = 90.00° and γ = 90.00°. Symmetry generates all atoms from Zn at (0.000, 0.000, 0.000), Cu at (0.500, 0.500, 0.545), Br at (0.000, 0.000, 0.456) and Br at (0.500, 0.500, 0.947).


*R*
# ZnCuBr2

A geometry-optimized ZnCuBr2 structure (PBE, the Alexandria database).

The density of states at the Fermi level comes out at 2.0 states/eV per cell.

It has space group Cmm2 (No. 35), with a = 3.600 Å, b = 7.618 Å, c = 9.026 Å, α = 90.00°, β = 90.00° and γ = 90.00°. Symmetry generates all atoms from Zn at (0.000, 0.000, 0.000), Cu at (0.000, 0.500, 0.197), Br at (0.000, 0.000, 0.371) and Br at (0.000, 0.500, 0.810).


We find *R* to be the most stable, with the next structure 58 meV per atom higher.


*P*
# ZrCuBr2

A geometry-optimized ZrCuBr2 structure (PBE, the Alexandria database).

The density of states at the Fermi level comes out at 3.2 states/eV per cell.

It has space group Pmmm (No. 47), with a = 3.406 Å, b = 4.332 Å, c = 5.717 Å, α = 90.00°, β = 90.00° and γ = 90.00°. Symmetry generates all atoms from Zr at (0.000, 0.000, 0.000), Cu at (0.500, 0.000, 0.500), Br at (0.000, 0.500, 0.500) and Br at (0.500, 0.500, 0.000).


*Q*
# ZrCuBr2

A geometry-optimized ZrCuBr2 structure (PBE, the Alexandria database).

The density of states at the Fermi level comes out at 8.1 states/eV per cell.

It has space group I-4m2 (No. 119), with a = 3.891 Å, b = 3.891 Å, c = 10.899 Å, α = 90.00°, β = 90.00° and γ = 90.00°. Symmetry generates all atoms from Zr at (0.000, 0.000, 0.000), Cu at (0.000, 0.500, 0.250), Br at (0.000, 0.000, 0.500) and Br at (0.000, 0.500, 0.750).


We find *P* to be the most stable, with the next structure 35 meV per atom higher.


*P*
# ZrCuBr2

A geometry-optimized ZrCuBr2 structure (PBE, the Alexandria database).

The density of states at the Fermi level comes out at 3.7 states/eV per cell.

It has space group Cmmm (No. 65), with a = 3.332 Å, b = 6.116 Å, c = 10.033 Å, α = 90.00°, β = 90.00° and γ = 90.00°. Symmetry generates all atoms from Zr at (0.000, 0.000, 0.000), Cu at (0.000, 0.000, 0.500) and Br at (0.000, 0.500, 0.214).


*Q*
# ZrCuBr2

A geometry-optimized ZrCuBr2 structure (PBE, the Alexandria database).

The density of states at the Fermi level comes out at 2.8 states/eV per cell.

It has space group Immm (No. 71), with a = 3.342 Å, b = 4.508 Å, c = 15.430 Å, α = 90.00°, β = 90.00° and γ = 90.00°. Symmetry generates all atoms from Zr at (0.000, 0.000, 0.000), Cu at (0.000, 0.000, 0.500) and Br at (0.000, 0.500, 0.358).


*R*
# ZrCuBr2

A geometry-optimized ZrCuBr2 structure (PBE, the Alexandria database).

The density of states at the Fermi level comes out at 3.3 states/eV per cell.

It has space group Cmm2 (No. 35), with a = 4.795 Å, b = 4.802 Å, c = 8.395 Å, α = 90.00°, β = 90.00° and γ = 90.00°. Symmetry generates all atoms from Zr at (0.000, 0.000, 0.000), Cu at (0.000, 0.500, 0.184), Br at (0.000, 0.000, 0.333) and Br at (0.000, 0.500, 0.783).


*S*
# ZrCuBr2

A geometry-optimized ZrCuBr2 structure (PBE, the Alexandria database).

The density of states at the Fermi level comes out at 7.2 states/eV per cell.

It has space group Fm-3m (No. 225), with a = 6.852 Å, b = 6.852 Å, c = 6.852 Å, α = 90.00°, β = 90.00° and γ = 90.00°. Symmetry generates all atoms from Zr at (0.000, 0.000, 0.000), Cu at (0.000, 0.000, 0.500) and Br at (0.250, 0.250, 0.250).


We find *R* to be the most stable, with the next structure 22 meV per atom higher.


*P*
# ZrCuBr2

A geometry-optimized ZrCuBr2 structure (PBE, the Alexandria database).

The density of states at the Fermi level comes out at 2.4 states/eV per cell.

It has space group Pm (No. 6), with a = 3.540 Å, b = 3.470 Å, c = 8.718 Å, α = 90.00°, β = 101.62° and γ = 90.00°. Symmetry generates all atoms from Zr at (0.000, 0.000, 0.000), Cu at (0.581, 0.500, 0.165), Br at (0.159, 0.000, 0.319) and Br at (0.881, 0.500, 0.758).


*Q*
# ZrCuBr2

A geometry-optimized ZrCuBr2 structure (PBE, the Alexandria database).

The density of states at the Fermi level comes out at 2.6 states/eV per cell.

It has space group Imm2 (No. 44), with a = 3.247 Å, b = 4.923 Å, c = 13.070 Å, α = 90.00°, β = 90.00° and γ = 90.00°. Symmetry generates all atoms from Zr at (0.000, 0.000, 0.000), Cu at (0.000, 0.500, 0.329), Br at (0.000, 0.000, 0.470) and Br at (0.000, 0.500, 0.671).


*R*
# ZrCuBr2

A geometry-optimized ZrCuBr2 structure (PBE, the Alexandria database).

The density of states at the Fermi level comes out at 4.9 states/eV per cell.

It has space group Cm (No. 8), with a = 6.276 Å, b = 3.629 Å, c = 9.020 Å, α = 90.00°, β = 103.27° and γ = 90.00°. Symmetry generates all atoms from Zr at (0.000, 0.000, 0.000), Cu at (0.267, 0.000, 0.796), Br at (0.047, 0.500, 0.633) and Br at (0.236, 0.500, 0.210).


*S*
# ZrCuBr2

A geometry-optimized ZrCuBr2 structure (PBE, the Alexandria database).

The density of states at the Fermi level comes out at 5.2 states/eV per cell.

It has space group I4/mmm (No. 139), with a = 4.464 Å, b = 4.464 Å, c = 7.990 Å, α = 90.00°, β = 90.00° and γ = 90.00°. Symmetry generates all atoms from Zr at (0.000, 0.000, 0.000), Cu at (0.000, 0.000, 0.500) and Br at (0.000, 0.500, 0.250).


We find *P* to be the most stable, with the next structure 58 meV per atom higher.


*P*
# ZrCuBr2

A geometry-optimized ZrCuBr2 structure (PBE, the Alexandria database).

The density of states at the Fermi level comes out at 3.9 states/eV per cell.

It has space group C2/m (No. 12), with a = 6.483 Å, b = 8.772 Å, c = 3.383 Å, α = 90.00°, β = 115.18° and γ = 90.00°. Symmetry generates all atoms from Zr at (0.000, 0.000, 0.000), Cu at (0.000, 0.500, 0.000) and Br at (0.250, 0.250, 0.000).


*Q*
# ZrCuBr2

A geometry-optimized ZrCuBr2 structure (PBE, the Alexandria database).

The density of states at the Fermi level comes out at 2.8 states/eV per cell.

It has space group P2/m (No. 10), with a = 4.804 Å, b = 3.367 Å, c = 5.494 Å, α = 90.00°, β = 112.42° and γ = 90.00°. Symmetry generates all atoms from Zr at (0.000, 0.000, 0.000), Cu at (0.500, 0.500, 0.500), Br at (0.000, 0.000, 0.500) and Br at (0.500, 0.500, 0.000).


*R*
# ZrCuBr2

A geometry-optimized ZrCuBr2 structure (PBE, the Alexandria database).

The density of states at the Fermi level comes out at 13.0 states/eV per cell.

It has space group I-42d (No. 122), with a = 6.378 Å, b = 6.378 Å, c = 10.114 Å, α = 90.00°, β = 90.00° and γ = 90.00°. Symmetry generates all atoms from Zr at (0.000, 0.000, 0.000), Cu at (0.000, 0.000, 0.500) and Br at (0.212, 0.250, 0.625).


*S*
# ZrCuBr2

A geometry-optimized ZrCuBr2 structure (PBE, the Alexandria database).

The density of states at the Fermi level comes out at 6.3 states/eV per cell.

It has space group Cmmm (No. 65), with a = 6.414 Å, b = 7.333 Å, c = 3.406 Å, α = 90.00°, β = 90.00° and γ = 90.00°. Symmetry generates all atoms from Zr at (0.000, 0.000, 0.000), Cu at (0.000, 0.500, 0.000) and Br at (0.250, 0.250, 0.500).


We find *Q* to be the most stable, with the next structure 11 meV per atom higher.


*P*
# ZrCu2Br

A geometry-optimized ZrCu2Br structure (PBE, the Alexandria database).

The density of states at the Fermi level comes out at 4.0 states/eV per cell.

It has space group C2/m (No. 12), with a = 5.191 Å, b = 8.879 Å, c = 3.208 Å, α = 90.00°, β = 90.35° and γ = 90.00°. Symmetry generates all atoms from Zr at (0.000, 0.000, 0.000), Cu at (0.250, 0.250, 0.500) and Br at (0.000, 0.500, 0.000).


*Q*
# ZrCu2Br

A geometry-optimized ZrCu2Br structure (PBE, the Alexandria database).

The density of states at the Fermi level comes out at 10.6 states/eV per cell.

It has space group R-3m (No. 166, hexagonal axes), with a = 3.4376 Å, b = 3.4376 Å, c = 23.1419 Å, α = 90.00°, β = 90.00° and γ = 120.00°. Symmetry generates all atoms from Zr at (0.0000, 0.0000, 0.0000), Cu at (0.0000, 0.0000, 0.2495) and Br at (0.0000, 0.0000, 0.5000).


We find *P* to be the most stable, with the next structure 10 meV per atom higher.


*P*
# ZrCu2Br

A geometry-optimized ZrCu2Br structure (PBE, the Alexandria database).

The density of states at the Fermi level comes out at 5.3 states/eV per cell.

It has space group I-4m2 (No. 119), with a = 4.072 Å, b = 4.072 Å, c = 8.346 Å, α = 90.00°, β = 90.00° and γ = 90.00°. Symmetry generates all atoms from Zr at (0.000, 0.000, 0.000), Cu at (0.000, 0.000, 0.500), Cu at (0.000, 0.500, 0.250) and Br at (0.000, 0.500, 0.750).


*Q*
# ZrCu2Br

A geometry-optimized ZrCu2Br structure (PBE, the Alexandria database).

The density of states at the Fermi level comes out at 2.3 states/eV per cell.

It has space group P4mm (No. 99), with a = 3.244 Å, b = 3.244 Å, c = 7.377 Å, α = 90.00°, β = 90.00° and γ = 90.00°. Symmetry generates all atoms from Zr at (0.000, 0.000, 0.000), Cu at (0.000, 0.000, 0.633), Cu at (0.500, 0.500, 0.767) and Br at (0.500, 0.500, 0.245).


*R*
# ZrCu2Br

A geometry-optimized ZrCu2Br structure (PBE, the Alexandria database).

The density of states at the Fermi level comes out at 3.8 states/eV per cell.

It has space group Immm (No. 71), with a = 3.144 Å, b = 4.550 Å, c = 9.860 Å, α = 90.00°, β = 90.00° and γ = 90.00°. Symmetry generates all atoms from Zr at (0.000, 0.000, 0.000), Cu at (0.000, 0.500, 0.254) and Br at (0.000, 0.000, 0.500).


*S*
# ZrCu2Br

A geometry-optimized ZrCu2Br structure (PBE, the Alexandria database).

The density of states at the Fermi level comes out at 2.3 states/eV per cell.

It has space group P4/mmm (No. 123), with a = 3.900 Å, b = 3.900 Å, c = 4.572 Å, α = 90.00°, β = 90.00° and γ = 90.00°. Symmetry generates all atoms from Zr at (0.000, 0.000, 0.000), Cu at (0.000, 0.500, 0.500) and Br at (0.500, 0.500, 0.000).


We find *Q* to be the most stable, with the next structure 266 meV per atom higher.


*P*
# ZrCu2Br

A geometry-optimized ZrCu2Br structure (PBE, the Alexandria database).

The density of states at the Fermi level comes out at 13.9 states/eV per cell.

It has space group F-43m (No. 216), with a = 6.510 Å, b = 6.510 Å, c = 6.510 Å, α = 90.00°, β = 90.00° and γ = 90.00°. Symmetry generates all atoms from Zr at (0.000, 0.000, 0.000), Cu at (0.000, 0.000, 0.500), Cu at (0.250, 0.250, 0.250) and Br at (0.250, 0.250, 0.750).


*Q*
# ZrCu2Br

A geometry-optimized ZrCu2Br structure (PBE, the Alexandria database).

The density of states at the Fermi level comes out at 13.8 states/eV per cell.

It has space group I-42d (No. 122), with a = 7.495 Å, b = 7.495 Å, c = 5.264 Å, α = 90.00°, β = 90.00° and γ = 90.00°. Symmetry generates all atoms from Zr at (0.000, 0.000, 0.000), Cu at (0.240, 0.250, 0.625) and Br at (0.000, 0.000, 0.500).


*R*
# ZrCu2Br

A geometry-optimized ZrCu2Br structure (PBE, the Alexandria database).

The density of states at the Fermi level comes out at 6.9 states/eV per cell.

It has space group Cm (No. 8), with a = 6.838 Å, b = 3.649 Å, c = 6.752 Å, α = 90.00°, β = 91.16° and γ = 90.00°. Symmetry generates all atoms from Zr at (0.000, 0.000, 0.000), Cu at (0.142, 0.500, 0.336), Cu at (0.320, 0.000, 0.213) and Br at (0.164, 0.500, 0.731).


We find *R* to be the most stable, with the next structure 293 meV per atom higher.